a | The following is a PBE calculation of a geometry-optimized Tb2SnS5 structure, from Alexandria via LeMat-Bulk.

Computed properties:
* space group: Pbam (55)
* spin magnetization: 0.00 Bohr magnetons per cell

Unit cell a=7.7694 b=11.4095 c=3.8260 alpha=90.00 beta=90.00 gamma=90.00
Sites, in units of the cell vectors:
Tb 0.0266 0.1729 0.0000
Tb 0.4734 0.6729 0.0000
Tb 0.5266 0.3271 0.0000
Tb 0.9734 0.8271 0.0000
Sn 0.0000 0.5000 0.5000
Sn 0.5000 0.0000 0.5000
S 0.0000 0.0000 0.5000
S 0.1686 0.4015 0.0000
S 0.1783 0.6948 0.5000
S 0.3217 0.1948 0.5000
S 0.3314 0.9015 0.0000
S 0.5000 0.5000 0.5000
S 0.6686 0.0985 0.0000
S 0.6783 0.8052 0.5000
S 0.8217 0.3052 0.5000
S 0.8314 0.5985 0.0000


b | The following is a PBE calculation of a geometry-optimized Tb2SnS5 structure, from Alexandria via LeMat-Bulk.

Computed properties:
* space group: Cmcm (63)
* spin magnetization: 0.00 Bohr magnetons per cell

Unit cell a=7.1919 b=7.1919 c=12.8989 alpha=90.00 beta=90.00 gamma=137.22
Sites, in units of the cell vectors:
Tb 0.1510 0.8490 0.5673
Tb 0.1510 0.8490 0.9327
Tb 0.8490 0.1510 0.0673
Tb 0.8490 0.1510 0.4327
Sn 0.1733 0.8267 0.2500
Sn 0.8267 0.1733 0.7500
S 0.0450 0.9550 0.1107
S 0.0450 0.9550 0.3893
S 0.2713 0.7287 0.7500
S 0.2993 0.7007 0.0919
S 0.2993 0.7007 0.4081
S 0.7007 0.2993 0.5919
S 0.7007 0.2993 0.9081
S 0.7287 0.2713 0.2500
S 0.9550 0.0450 0.6107
S 0.9550 0.0450 0.8893


Stability summary: most stable a, least stable b.


a | The following is a PBE calculation of a geometry-optimized Tb2SnS structure, from Alexandria via LeMat-Bulk.

Computed properties:
* space group: Cmcm (63)
* spin magnetization: 0.00 Bohr magnetons per cell

Unit cell a=11.4724 b=11.4724 c=4.2231 alpha=90.00 beta=90.00 gamma=159.06
Sites, in units of the cell vectors:
Tb 0.0723 0.9277 0.7500
Tb 0.3117 0.6883 0.7500
Tb 0.6883 0.3117 0.2500
Tb 0.9277 0.0723 0.2500
Sn 0.4522 0.5478 0.7500
Sn 0.5478 0.4522 0.2500
S 0.1918 0.8082 0.7500
S 0.8082 0.1918 0.2500


b | The following is a PBE calculation of a geometry-optimized Tb2SnS structure, from Alexandria via LeMat-Bulk.

Computed properties:
* space group: R3m (160)
* spin magnetization: 0.00 Bohr magnetons per cell

Unit cell a=8.3170 b=8.3170 c=8.3170 alpha=26.46 beta=26.46 gamma=26.46
Sites, in units of the cell vectors:
Tb 0.0000 0.0000 0.0000
Tb 0.1977 0.1977 0.1977
Sn 0.7662 0.7662 0.7662
S 0.5981 0.5981 0.5981


Stability summary: most stable a, least stable b.


a | The following is a PBE calculation of a geometry-optimized TcSn2S structure, from Alexandria via LeMat-Bulk.

Computed properties:
* space group: I-42d (122)
* spin magnetization: 0.00 Bohr magnetons per cell

Unit cell a=7.3362 b=7.3362 c=7.3362 alpha=129.90 beta=129.90 gamma=73.57
Sites, in units of the cell vectors:
Tc 0.0000 0.0000 0.0000
Tc 0.7500 0.2500 0.5000
Sn 0.1103 0.6250 0.9853
Sn 0.3750 0.3603 0.4853
Sn 0.6397 0.1250 0.0147
Sn 0.8750 0.8897 0.5147
S 0.2500 0.7500 0.5000
S 0.5000 0.5000 0.0000


b | The following is a PBE calculation of a geometry-optimized TcSn2S structure, from Alexandria via LeMat-Bulk.

Computed properties:
* space group: Fm-3m (225)
* spin magnetization: 2.55 Bohr magnetons per cell

Unit cell a=4.8842 b=4.8842 c=4.8842 alpha=60.00 beta=60.00 gamma=60.00
Sites, in units of the cell vectors:
Tc 0.0000 0.0000 0.0000
Sn 0.2500 0.2500 0.2500
Sn 0.7500 0.7500 0.7500
S 0.5000 0.5000 0.5000


Stability summary: most stable a, least stable b.


a | The following is a PBE calculation of a geometry-optimized TcSnS2 structure, from Alexandria via LeMat-Bulk.

Computed properties:
* space group: R-3m (166)
* spin magnetization: 0.00 Bohr magnetons per cell

Unit cell a=8.1706 b=8.1706 c=8.1706 alpha=24.84 beta=24.84 gamma=24.84
Sites, in units of the cell vectors:
Tc 0.0000 0.0000 0.0000
Sn 0.5000 0.5000 0.5000
S 0.0941 0.0941 0.0941
S 0.9059 0.9059 0.9059


b | The following is a PBE calculation of a geometry-optimized TcSnS2 structure, from Alexandria via LeMat-Bulk.

Computed properties:
* space group: Fm-3m (225)
* spin magnetization: 0.00 Bohr magnetons per cell

Unit cell a=4.5531 b=4.5531 c=4.5531 alpha=60.00 beta=60.00 gamma=60.00
Sites, in units of the cell vectors:
Tc 0.0000 0.0000 0.0000
Sn 0.5000 0.5000 0.5000
S 0.2500 0.2500 0.2500
S 0.7500 0.7500 0.7500


c | The following is a PBE calculation of a geometry-optimized TcSnS2 structure, from Alexandria via LeMat-Bulk.

Computed properties:
* space group: P-1 (2)
* spin magnetization: 0.38 Bohr magnetons per cell

Unit cell a=3.5160 b=5.6348 c=8.7086 alpha=76.71 beta=89.76 gamma=89.96
Sites, in units of the cell vectors:
Tc 0.2499 0.1997 0.4944
Tc 0.7501 0.8003 0.5056
Sn 0.2500 0.7392 0.0316
Sn 0.7500 0.2608 0.9684
S 0.2482 0.8409 0.6824
S 0.2515 0.6399 0.3607
S 0.7485 0.3601 0.6393
S 0.7518 0.1591 0.3176


d | The following is a PBE calculation of a geometry-optimized TcSnS2 structure, from Alexandria via LeMat-Bulk.

Computed properties:
* space group: R-3m (166)
* spin magnetization: 1.75 Bohr magnetons per cell

Unit cell a=8.7491 b=8.7491 c=8.7491 alpha=22.40 beta=22.40 gamma=22.40
Sites, in units of the cell vectors:
Tc 0.0000 0.0000 0.0000
Sn 0.5000 0.5000 0.5000
S 0.3886 0.3886 0.3886
S 0.6114 0.6114 0.6114


Stability summary: most stable c, least stable a.